CsKLi2I4 | Alexandria via LeMat-Bulk | GGA-PBE | optimized geometry; DOS(E_F) = 0.0000 states/eV per atom; energy = -2.78 eV/atom; calculated volume = 42.5 A^3/atom; space-group type = P4/mmm, No. 123; raw formation energy = -1.28 eV/atom
1.0
5.865 0.000 0.000
0.000 5.865 0.000
0.000 0.000 9.894
Cs K Li I
1 1 2 4
direct
0.000 0.000 0.000
0.000 0.000 0.500
0.500 0.500 0.269
0.500 0.500 0.731
0.000 0.500 0.267
0.000 0.500 0.733
0.500 0.000 0.267
0.500 0.000 0.733

=====

CaSnTeSe | Alexandria via LeMat-Bulk | GGA-PBE | optimized geometry; energy = -4.21 eV/atom; calculated volume = 30.7 A^3/atom; space-group type = Pmm2, No. 25; raw formation energy = -1.06 eV/atom
1.0
4.389 0.000 0.000
0.000 6.230 0.000
0.000 0.000 4.487
Ca Sn Te Se
1 1 1 1
direct
0.000 0.000 0.000
0.500 0.500 0.561
0.500 0.000 0.502
0.000 0.500 0.983

=====

TcH3O | Alexandria via LeMat-Bulk | GGA-PBE | optimized geometry; DOS(E_F) = 0.4583 states/eV per atom; energy = -4.21 eV/atom; calculated volume = 8.1 A^3/atom; space-group type = Pm-3m, No. 221; excess energy over the best structure of this formula in the dataset = 0.00 kcal/mol of atoms
1.0
3.435 0.000 0.000
0.000 3.435 0.000
0.000 0.000 3.435
Tc H O
1 3 1
direct
0.000 0.000 0.000
0.000 0.000 0.500
0.000 0.500 0.000
0.500 0.000 0.000
0.500 0.500 0.500

=====

Nb2GaPt | Alexandria via LeMat-Bulk | GGA-PBE | optimized geometry; DOS(E_F) = 0.8242 states/eV per atom; energy = -7.76 eV/atom; calculated volume = 16.6 A^3/atom; space-group type = P4/mmm, No. 123; calculated formation energy = -0.4625 eV/atom
1.0
3.959 0.000 0.000
0.000 3.959 0.000
0.000 0.000 4.246
Nb Ga Pt
2 1 1
direct
0.000 0.500 0.000
0.500 0.000 0.000
0.000 0.000 0.500
0.500 0.500 0.500